[1]
BiBr3 | GGA-PBE | relaxed

a b c (Å): 10.2078 10.2078 5.7832
angles (deg): 90.00 90.00 90.00
Space group I-42d (No. 122)
Asymmetric unit:
Bi: 0.0000 0.0000 0.0000 (multiplicity 4)
Br: 0.0000 0.0000 0.5000 (multiplicity 4)
Br: 0.1209 0.2500 0.1250 (multiplicity 8)

The energy relative to the elements, uncorrected is -568.6 meV/atom. As for the calculated total energy: -2.7935 eV/atom.



[2]
Na2PtF7 | GGA-PBE | relaxed

a b c (Å): 12.9175 6.2585 9.0515
angles (deg): 90.00 129.99 90.00
Space group C2/c (No. 15)
Asymmetric unit:
Na: 0.1993 0.0853 0.2974 (multiplicity 8)
Pt: 0.0000 0.3533 0.7500 (multiplicity 4)
F: 0.0000 0.0426 0.7500 (multiplicity 4)
F: 0.0897 0.3280 0.0250 (multiplicity 8)
F: 0.1204 0.3636 0.3790 (multiplicity 8)
F: 0.1635 0.3055 0.7802 (multiplicity 8)

The energy relative to the elements, uncorrected is -1780.4 meV/atom. As for the calculated total energy: -3.9582 eV/atom.



[3]
Al2HgSe | GGA-PBE | relaxed

a b c (Å): 4.7415 4.7675 7.7709
angles (deg): 90.00 90.00 90.00
Space group Cmm2 (No. 35)
Asymmetric unit:
Al: 0.0000 0.0000 0.0000 (multiplicity 2)
Al: 0.0000 0.5000 0.2199 (multiplicity 2)
Hg: 0.0000 0.5000 0.7411 (multiplicity 2)
Se: 0.0000 0.0000 0.3707 (multiplicity 2)

The energy relative to the elements, uncorrected is -45.4 meV/atom. As for the calculated total energy: -2.8633 eV/atom.



Q: Which of these has the lowest calculated total energy?
A: Na2PtF7



Copy entry 3 word for word.
Al2HgSe | GGA-PBE | relaxed

a b c (Å): 4.7415 4.7675 7.7709
angles (deg): 90.00 90.00 90.00
Space group Cmm2 (No. 35)
Asymmetric unit:
Al: 0.0000 0.0000 0.0000 (multiplicity 2)
Al: 0.0000 0.5000 0.2199 (multiplicity 2)
Hg: 0.0000 0.5000 0.7411 (multiplicity 2)
Se: 0.0000 0.0000 0.3707 (multiplicity 2)

The energy relative to the elements, uncorrected is -45.4 meV/atom. As for the calculated total energy: -2.8633 eV/atom.



Q: Which formula does entry 2 have?
A: Na2PtF7



What did the second record say?
Na2PtF7 | GGA-PBE | relaxed

a b c (Å): 12.9175 6.2585 9.0515
angles (deg): 90.00 129.99 90.00
Space group C2/c (No. 15)
Asymmetric unit:
Na: 0.1993 0.0853 0.2974 (multiplicity 8)
Pt: 0.0000 0.3533 0.7500 (multiplicity 4)
F: 0.0000 0.0426 0.7500 (multiplicity 4)
F: 0.0897 0.3280 0.0250 (multiplicity 8)
F: 0.1204 0.3636 0.3790 (multiplicity 8)
F: 0.1635 0.3055 0.7802 (multiplicity 8)

The energy relative to the elements, uncorrected is -1780.4 meV/atom. As for the calculated total energy: -3.9582 eV/atom.